VASP calculation (PBE) on an optimized crystal structure of HoIn2Ni.

The structure in POSCAR format:
```
HoIn2Ni
1.0
3.329 0.000 0.000
-1.664 2.883 0.000
0.000 0.000 30.245
Ho In Ni
3 6 3
Direct
0.000 0.000 0.000
0.333 0.667 0.667
0.667 0.333 0.333
0.000 0.000 0.105
0.000 0.000 0.895
0.333 0.667 0.562
0.333 0.667 0.772
0.667 0.333 0.228
0.667 0.333 0.438
0.000 0.000 0.500
0.333 0.667 0.167
0.667 0.333 0.833
```

Properties
Formation energy   213.6 meV per atom
Crystal system   trigonal
Uncorrected energy   -3.75 eV per atom
Density of states at the Fermi level   11.0 states/eV per cell

---

VASP calculation (PBE) on an optimized crystal structure of Ho5InNi.

The structure in POSCAR format:
```
Ho5InNi
1.0
5.505 -3.368 0.000
5.505 3.368 0.000
-3.726 0.000 10.537
Ho In Ni
10 2 2
Direct
0.019 0.981 0.750
0.034 0.401 0.638
0.205 0.550 0.955
0.401 0.034 0.138
0.450 0.795 0.545
0.550 0.205 0.455
0.599 0.966 0.862
0.795 0.450 0.045
0.966 0.599 0.362
0.981 0.019 0.250
0.469 0.531 0.250
0.531 0.469 0.750
0.000 0.000 0.000
0.000 0.000 0.500
```

Properties
Formation energy   -127.3 meV per atom
Crystal system   monoclinic
Uncorrected energy   -4.61 eV per atom
Density of states at the Fermi level   15.0 states/eV per cell

---

VASP calculation (PBE) on an optimized crystal structure of Ho2InNi2.

The structure in POSCAR format:
```
Ho2InNi2
1.0
3.860 0.000 0.000
0.000 14.324 0.000
0.000 0.000 3.674
Ho In Ni
4 2 4
Direct
0.000 0.139 0.000
0.000 0.861 0.000
0.500 0.361 0.000
0.500 0.639 0.000
0.000 0.500 0.500
0.500 0.000 0.500
0.000 0.301 0.500
0.000 0.699 0.500
0.500 0.199 0.500
0.500 0.801 0.500
```

Properties
Formation energy   -544.9 meV per atom
Crystal system   orthorhombic
Uncorrected energy   -5.24 eV per atom
Density of states at the Fermi level   5.4 states/eV per cell

---

VASP calculation (PBE) on an optimized crystal structure of HoIn2Ni.

The structure in POSCAR format:
```
HoIn2Ni
1.0
16.146 0.000 0.000
0.000 7.392 0.000
0.000 0.000 5.611
Ho In Ni
8 16 8
Direct
0.108 0.250 0.244
0.142 0.750 0.462
0.358 0.250 0.962
0.392 0.750 0.744
0.608 0.250 0.256
0.642 0.750 0.038
0.858 0.250 0.538
0.892 0.750 0.756
0.035 0.048 0.746
0.035 0.452 0.746
0.215 0.550 0.971
0.215 0.950 0.971
0.285 0.050 0.471
0.285 0.450 0.471
0.465 0.548 0.246
0.465 0.952 0.246
0.535 0.048 0.754
0.535 0.452 0.754
0.715 0.550 0.529
0.715 0.950 0.529
0.785 0.050 0.029
0.785 0.450 0.029
0.965 0.548 0.254
0.965 0.952 0.254
0.073 0.750 0.989
0.174 0.250 0.731
0.326 0.750 0.231
0.427 0.250 0.489
0.573 0.750 0.511
0.674 0.250 0.769
0.826 0.750 0.269
0.927 0.250 0.011
```

Properties
Formation energy   -410.9 meV per atom
Crystal system   orthorhombic
Uncorrected energy   -4.37 eV per atom
Density of states at the Fermi level   17.0 states/eV per cell

---

VASP calculation (PBE) on an optimized crystal structure of Ho12InNi6.

The structure in POSCAR format:
```
Ho12InNi6
1.0
-4.827 4.827 4.827
4.827 -4.827 4.827
4.827 4.827 -4.827
Ho In Ni
12 1 6
Direct
0.115 0.303 0.813
0.187 0.490 0.303
0.187 0.885 0.697
0.303 0.187 0.490
0.303 0.813 0.115
0.490 0.303 0.187
0.510 0.697 0.813
0.697 0.187 0.885
0.697 0.813 0.510
0.813 0.115 0.303
0.813 0.510 0.697
0.885 0.697 0.187
0.000 0.000 0.000
0.123 0.500 0.623
0.377 0.877 0.500
0.500 0.377 0.877
0.500 0.623 0.123
0.623 0.123 0.500
0.877 0.500 0.377
```

Properties
Formation energy   -377.1 meV per atom
Crystal system   cubic
Uncorrected energy   -5.24 eV per atom
Density of states at the Fermi level   19.7 states/eV per cell

---

VASP calculation (PBE) on an optimized crystal structure of HoInNi.

The structure in POSCAR format:
```
HoInNi
1.0
7.472 0.000 0.000
-3.736 6.471 0.000
0.000 0.000 3.745
Ho In Ni
3 3 3
Direct
0.000 0.589 0.000
0.411 0.411 0.000
0.589 0.000 0.000
0.000 0.256 0.500
0.256 0.000 0.500
0.744 0.744 0.500
0.000 0.000 0.000
0.333 0.667 0.500
0.667 0.333 0.500
```

Properties
Formation energy   -504.8 meV per atom
Crystal system   hexagonal
Uncorrected energy   -4.87 eV per atom
Density of states at the Fermi level   9.0 states/eV per cell